FeOs2Pb, optimized geometry, DFT PBE; Fermi-level density of states = 3.19 states/eV per cell; electronic total energy = -7.76 eV/atom; formation energy = 0.899 eV per atom
1.0
4.450 0.000 0.000
0.000 4.450 0.000
0.000 0.000 3.242
Fe Os Pb
1 2 1
direct
0.000 0.000 0.000
0.000 0.500 0.500
0.500 0.000 0.500
0.500 0.500 0.000